P | VASP calculation (PBE-GGA) on an optimized crystal structure of FeP2Au.

Structure (extended XYZ):
```
4
Lattice="2.7473 0.0000 0.0000 0.0000 2.7473 0.0000 0.0000 0.0000 8.0232" Properties=species:S:1:pos:R:3 pbc="T T T"
Fe 1.3736 1.3736 6.0174
Au 1.3736 1.3736 2.0058
P 0.0000 0.0000 4.6455
P 0.0000 0.0000 7.3893
```

Symmetry: No. 123
Total moment in μB/f.u.: 0.6

---

Q | VASP calculation (PBE-GGA) on an optimized crystal structure of FeP2Au.

Structure (extended XYZ):
```
4
Lattice="7.0947 -0.0031 -0.0019 6.3873 3.0883 -0.0019 6.3873 1.4616 2.7205" Properties=species:S:1:pos:R:3 pbc="T T T"
P 19.8511 4.5426 2.7142
P 5.1651 1.1819 0.7062
Au 9.9929 2.2867 1.3663
Fe 14.6641 3.3556 2.0050
```

Symmetry: No. 160
Total moment in μB/f.u.: 2.4

---

R | VASP calculation (PBE-GGA) on an optimized crystal structure of FeP2Au.

Structure (extended XYZ):
```
4
Lattice="-2.2533 0.9049 -3.7005 0.5157 -2.5460 -3.5835 -3.2768 -2.6736 -1.3054" Properties=species:S:1:pos:R:3 pbc="T T T"
P -1.2536 -1.0787 -2.1474
P 0.0000 0.0000 0.0000
Fe -3.7608 -3.2360 -6.4421
Au -2.5072 -2.1573 -4.2947
```

Symmetry: No. 216
Total moment in μB/f.u.: 2.7

---

S | VASP calculation (PBE-GGA) on an optimized crystal structure of FeP2Au.

Structure (extended XYZ):
```
4
Lattice="3.7547 0.0000 0.0000 0.0000 4.3187 -0.2884 0.0000 -0.5991 4.2098" Properties=species:S:1:pos:R:3 pbc="T T T"
P 0.0000 -0.3578 3.5676
P 0.0000 1.6186 2.6028
Fe 1.8774 2.7897 2.9410
Au 1.8774 0.9299 0.9803
```

Symmetry: No. 10
Total moment in μB/f.u.: 1.2

---

The relative energies come out as P 0; Q 102; R 516; S 36, with values in meV per atom.

---

P | VASP calculation (PBE-GGA) on an optimized crystal structure of FeP2AuS.

Structure (extended XYZ):
```
5
Lattice="4.7315 0.0000 0.0000 0.0000 4.7315 0.0000 0.0000 0.0000 4.8753" Properties=species:S:1:pos:R:3 pbc="T T T"
Fe 2.3657 2.3657 2.4377
S 0.0000 0.0000 2.4377
P 2.3657 0.0000 0.0000
P 0.0000 2.3657 0.0000
Au 0.0000 0.0000 0.0000
```

Symmetry: No. 123
Total moment in μB/f.u.: 2.9

---

Q | VASP calculation (PBE-GGA) on an optimized crystal structure of FeP2AuS.

Structure (extended XYZ):
```
5
Lattice="4.1600 0.0000 0.0000 0.0000 5.0716 0.0000 0.0000 0.0000 4.1600" Properties=species:S:1:pos:R:3 pbc="T T T"
Fe 0.0000 0.0000 0.0000
P 0.0000 0.0000 2.0800
P 2.0800 0.0000 0.0000
Au 2.0800 2.5358 2.0800
S 0.0000 2.5358 0.0000
```

Symmetry: No. 123
Total moment in μB/f.u.: 0.0

---

The relative energies come out as P 821; Q 0, with values in meV per atom.

---

P | VASP calculation (PBE-GGA) on an optimized crystal structure of PaFe2Au.

Structure (extended XYZ):
```
4
Lattice="4.5124 0.0000 0.0000 2.2562 3.9079 0.0000 2.2562 1.3026 3.6844" Properties=species:S:1:pos:R:3 pbc="T T T"
Au 4.5124 2.6052 1.8422
Pa 0.0000 0.0000 0.0000
Fe 2.2562 1.3026 0.9211
Fe 6.7686 3.9079 2.7633
```

Symmetry: No. 225
Total moment in μB/f.u.: 2.2

---

Q | VASP calculation (PBE-GGA) on an optimized crystal structure of PaFe2Au.

Structure (extended XYZ):
```
4
Lattice="-2.9148 1.3007 1.6895 0.1794 -3.1733 2.7524 2.4759 2.3054 2.4966" Properties=species:S:1:pos:R:3 pbc="T T T"
Fe 1.2379 1.1527 1.2483
Fe 0.0897 -1.5867 1.3762
Pa -1.4574 0.6503 0.8448
Au -0.1298 0.2164 3.4693
```

Symmetry: No. 123
Total moment in μB/f.u.: 1.6

---

R | VASP calculation (PBE-GGA) on an optimized crystal structure of PaFe2Au.

Structure (extended XYZ):
```
4
Lattice="4.5374 0.0000 0.0000 2.2687 3.9295 0.0000 2.2687 1.3098 4.0623" Properties=species:S:1:pos:R:3 pbc="T T T"
Fe 2.2687 1.3098 1.9003
Fe 6.8061 3.9295 2.1620
Au 4.5374 2.6197 2.0311
Pa 0.0000 0.0000 0.0000
```

Symmetry: No. 166
Total moment in μB/f.u.: 0.0

---

The relative energies come out as P 275; Q 102; R 0, with values in meV per atom.

---

P | VASP calculation (PBE-GGA) on an optimized crystal structure of FePb2Au.

Structure (extended XYZ):
```
4
Lattice="3.7015 0.0000 0.0000 0.0000 3.6987 0.0000 0.0000 0.0000 6.5076" Properties=species:S:1:pos:R:3 pbc="T T T"
Fe 1.8507 1.8494 4.8807
Pb 0.0000 0.0000 6.4451
Pb 0.0000 0.0000 3.3163
Au 1.8507 1.8494 1.6269
```

Symmetry: No. 123
Total moment in μB/f.u.: 2.6

---

Q | VASP calculation (PBE-GGA) on an optimized crystal structure of FePb2Au.

Structure (extended XYZ):
```
4
Lattice="5.3363 -0.0027 0.0000 1.3239 5.1695 0.0000 -3.3301 -2.5834 3.2730" Properties=species:S:1:pos:R:3 pbc="T T T"
Fe 2.6682 -0.0014 1.6365
Au 0.6620 2.5847 1.6365
Pb 0.0000 0.0000 0.0000
Pb 3.3301 2.5834 0.0000
```

Symmetry: No. 139
Total moment in μB/f.u.: 2.9

---

R | VASP calculation (PBE-GGA) on an optimized crystal structure of FePb2Au.

Structure (extended XYZ):
```
4
Lattice="0.0000 3.4920 3.4920 3.4920 0.0000 3.4920 3.4920 3.4920 0.0000" Properties=species:S:1:pos:R:3 pbc="T T T"
Pb 5.2380 5.2380 5.2380
Pb 1.7460 1.7460 1.7460
Fe 0.0000 0.0000 0.0000
Au 3.4920 3.4920 3.4920
```

Symmetry: No. 225
Total moment in μB/f.u.: 0.2

---

S | VASP calculation (PBE-GGA) on an optimized crystal structure of FePb2Au.

Structure (extended XYZ):
```
4
Lattice="-1.5560 -2.3090 4.2195 -0.3683 -4.3614 -2.5297 3.3200 -0.7519 0.8129" Properties=species:S:1:pos:R:3 pbc="T T T"
Fe 1.4758 -2.5566 -0.8584
Pb 0.0000 0.0000 0.0000
Pb -0.9622 -3.3352 0.8449
Au 0.8820 -1.5304 2.5162
```

Symmetry: No. 65
Total moment in μB/f.u.: 2.8

---

The relative energies come out as P 5; Q 50; R 277; S 0, with values in meV per atom.

---

P | VASP calculation (PBE-GGA) on an optimized crystal structure of FePb2Au.

Structure (extended XYZ):
```
4
Lattice="-1.2197 3.3698 3.1302 -0.0202 0.3965 4.7417 5.1857 2.6952 1.1131" Properties=species:S:1:pos:R:3 pbc="T T T"
Pb -1.1276 3.7894 7.8311
Pb 1.8606 3.2075 4.5333
Fe 0.9865 1.6154 2.2463
Au 2.9594 4.8461 6.7388
```

Symmetry: No. 12
Total moment in μB/f.u.: 2.7

---

Q | VASP calculation (PBE-GGA) on an optimized crystal structure of FePb2Au.

Structure (extended XYZ):
```
4
Lattice="-1.8761 3.8312 0.5343 -1.9306 -1.3758 3.0861 3.0871 0.8450 4.7806" Properties=species:S:1:pos:R:3 pbc="T T T"
Fe 0.4067 1.8184 5.6860
Au 0.1525 -0.5471 4.4589
Pb -0.4821 1.8056 2.6570
Pb 0.9379 -0.5726 7.3992
```

Symmetry: No. 6
Total moment in μB/f.u.: 2.7

---

The relative energies come out as P 202; Q 0, with values in meV per atom.

---

P | VASP calculation (PBE-GGA) on an optimized crystal structure of FePb2Au.

Structure (extended XYZ):
```
4
Lattice="-2.7622 1.7399 0.4121 -1.4356 -1.7060 -2.4198 -2.7891 -5.7860 5.7337" Properties=species:S:1:pos:R:3 pbc="T T T"
Au -1.5347 -3.1837 3.1550
Pb -2.6153 -5.4256 5.3765
Pb -2.9458 -1.7399 0.7371
Fe -4.0747 -4.0818 3.0579
```

Symmetry: No. 99
Total moment in μB/f.u.: 3.0

---

Q | VASP calculation (PBE-GGA) on an optimized crystal structure of FePb2Au.

Structure (extended XYZ):
```
4
Lattice="-6.0246 5.1753 -4.5483 -6.2883 2.2498 -6.2579 -8.0572 2.7090 -3.3924" Properties=species:S:1:pos:R:3 pbc="T T T"
Pb -0.0911 0.0453 -0.0635
Pb -10.0940 5.0217 -7.0358
Fe -15.2776 7.6005 -10.6489
Au -5.0925 2.5335 -3.5496
```

Symmetry: No. 166
Total moment in μB/f.u.: 2.5

---

The relative energies come out as P 0; Q 185, with values in meV per atom.

---

P | VASP calculation (PBE-GGA) on an optimized crystal structure of FePb2Au.

Structure (extended XYZ):
```
8
Lattice="-0.5927 -3.3828 3.0732 4.4514 -1.1297 -0.3850 3.9472 3.4294 7.9919" Properties=species:S:1:pos:R:3 pbc="T T T"
Fe 1.9293 -2.2563 1.3441
Fe 5.1639 0.0217 4.4755
Pb 3.6812 -0.3495 2.2123
Pb 1.1864 -1.3203 3.7998
Pb 4.5099 0.8538 6.9931
Pb 6.2342 -1.3504 8.3549
Au 2.6419 -1.1049 6.2046
Au 0.0000 0.0000 0.0000
```

Symmetry: No. 122
Total moment in μB/f.u.: 0.0

---

Q | VASP calculation (PBE-GGA) on an optimized crystal structure of FePb2Au.

Structure (extended XYZ):
```
4
Lattice="-3.9214 1.3367 -4.1052 1.0822 -1.6687 -5.4828 0.0024 -2.4270 5.3035" Properties=species:S:1:pos:R:3 pbc="T T T"
Pb -0.1675 -2.1309 -2.4867
Pb 0.0000 0.0000 0.0000
Fe -2.6693 -0.6281 -1.7979
Au -1.4196 -0.1660 -4.7940
```

Symmetry: No. 119
Total moment in μB/f.u.: 2.9

---

R | VASP calculation (PBE-GGA) on an optimized crystal structure of FePb2Au.

Structure (extended XYZ):
```
4
Lattice="-1.3460 -0.6079 -6.7351 -2.4694 -5.2104 -3.7811 -0.3520 4.5461 5.1722" Properties=species:S:1:pos:R:3 pbc="T T T"
Pb -1.8421 0.4546 -3.5188
Pb -0.1866 -0.2846 -0.5145
Fe -2.3973 -1.8368 -2.0239
Au -1.6489 -2.5145 -4.5449
```

Symmetry: No. 44
Total moment in μB/f.u.: 2.5

---

S | VASP calculation (PBE-GGA) on an optimized crystal structure of FePb2Au.

Structure (extended XYZ):
```
4
Lattice="-0.1059 1.1153 -4.9594 -0.2375 -3.7353 -3.4412 -4.2613 -0.7225 -2.6777" Properties=species:S:1:pos:R:3 pbc="T T T"
Fe -3.4536 -2.5069 -8.3087
Pb 0.0000 0.0000 0.0000
Pb -1.1512 -0.8356 -2.7696
Au -2.3024 -1.6713 -5.5391
```

Symmetry: No. 216
Total moment in μB/f.u.: 3.1

---

The relative energies come out as P 411; Q 130; R 0; S 259, with values in meV per atom.

---

P | VASP calculation (PBE-GGA) on an optimized crystal structure of FePd6Au.

Structure (extended XYZ):
```
8
Lattice="6.9402 -0.2135 0.2014 3.2661 6.1363 0.1670 3.4522 2.0314 3.0886" Properties=species:S:1:pos:R:3 pbc="T T T"
Au 0.0000 0.0000 0.0000
Pd 8.2109 5.9439 2.4643
Pd 2.7098 0.7309 0.7355
Pd 4.4326 4.5916 2.1731
Pd 9.2259 3.3627 1.2839
Pd 10.9486 7.2234 2.7215
Pd 5.4476 2.0104 0.9927
Fe 6.8292 3.9771 1.7285
```

Symmetry: No. 2
Total moment in μB/f.u.: 4.8

---

Q | VASP calculation (PBE-GGA) on an optimized crystal structure of FePd6Au.

Structure (extended XYZ):
```
8
Lattice="3.9522 0.0000 0.0000 0.0000 3.9522 0.0000 0.0000 0.0000 7.8669" Properties=species:S:1:pos:R:3 pbc="T T T"
Pd 1.9761 0.0000 5.8052
Pd 1.9761 1.9761 3.9334
Pd 1.9761 1.9761 0.0000
Pd 1.9761 0.0000 2.0616
Pd 0.0000 1.9761 5.8052
Pd 0.0000 1.9761 2.0616
Au 0.0000 0.0000 0.0000
Fe 0.0000 0.0000 3.9334
```

Symmetry: No. 123
Total moment in μB/f.u.: 4.3

---

The relative energies come out as P 148; Q 0, with values in meV per atom.